Record 1
VASP calculation (GGA-PBEsol) on crystalline BaMgRu at its relaxed geometry.

Calculated values
Formation energy   2.02 eV per formula unit
E_tot   -12.02 eV/cell

The structure in POSCAR format:
```
BaMgRu
1.0
3.4539 0.0000 0.0000
-1.7269 2.9912 0.0000
0.0000 0.0000 7.3067
Ba Mg Ru
1 1 1
Direct
0.0000 0.0000 0.0000
0.6667 0.3333 0.5386
0.3333 0.6667 0.2989
```

Record 2
VASP calculation (GGA-PBEsol) on crystalline Al2IrAu at its relaxed geometry.

Calculated values
Formation energy   -2.47 eV per formula unit
E_tot   -24.40 eV/cell

The structure in POSCAR format:
```
Al2IrAu
1.0
2.9412 0.0000 0.0000
0.0000 2.9412 0.0000
0.0000 0.0000 6.7690
Al Ir Au
2 1 1
Direct
0.0000 0.0000 0.2305
0.0000 0.0000 0.7695
0.5000 0.5000 0.0000
0.5000 0.5000 0.5000
```

Record 3
VASP calculation (GGA-PBEsol) on crystalline LaGeF3 at its relaxed geometry.

Calculated values
E_tot   -28.55 eV/cell
Formation energy without anion corrections   -12.5 eV per formula unit

The structure in POSCAR format:
```
LaGeF3
1.0
4.6752 0.0000 0.0000
0.0000 4.6752 0.0000
0.0000 0.0000 4.6752
La Ge F
1 1 3
Direct
0.0000 0.0000 0.0000
0.5000 0.5000 0.5000
0.0000 0.0000 0.5000
0.0000 0.5000 0.0000
0.5000 0.0000 0.0000
```

| no. | volume (A^3/atom) |
| --- | --- |
| 1 | 25.162 |
| 2 | 14.639 |
| 3 | 20.437 |